A geometry-optimized SrDyZnHg structure. Source: the Alexandria database, functional PBE.

Properties
Formation energy in eV per formula unit: -1.264

Geometry as POSCAR:
```
SrDyZnHg
1.0
5.356 0.000 0.000
2.678 4.638 0.000
2.678 1.546 4.373
Sr Zn Hg Dy
1 1 1 1
Cartesian
2.678 1.546 1.093 Sr
5.356 3.092 2.187 Zn
0.000 0.000 0.000 Hg
8.034 4.638 3.280 Dy
```

A geometry-optimized NaAg2Bi3S6 structure. Source: the Alexandria database, functional PBE.

Properties
Formation energy (no corrections) in eV/atom: -0.397

Geometry as POSCAR:
```
NaAg2Bi3S6
1.0
4.046 0.000 0.000
0.000 8.019 0.322
-2.023 -2.266 8.456
Na Ag Bi S
1 2 3 6
Cartesian
2.023 0.000 0.000 Na
2.023 3.874 5.895 Ag
0.000 1.879 2.883 Ag
2.023 4.009 0.161 Bi
2.023 -0.139 5.676 Bi
0.000 5.891 3.102 Bi
0.000 5.832 5.899 S
2.023 3.881 3.038 S
2.023 -0.079 2.879 S
0.000 2.039 0.097 S
2.023 3.713 8.681 S
0.000 1.871 5.739 S
```

no.,M_tot (μB/cell)
1,0.00
2,0.00